Record 1
# PBE-GGA DyTm6Sc8, relaxed
# * density: 6.3 Mg/m³
# * SG: R-3
# * crystal system: trigonal
# * D(E_F): 1.764 states/eV/atom
# * E_form: 0.04 eV/atom
data_DyTm6Sc8
_symmetry_space_group_name_H-M 'P 1'
_symmetry_Int_Tables_number 1
_cell_length_a 13.9997
_cell_length_b 13.9997
_cell_length_c 13.9997
_cell_angle_alpha 24.23
_cell_angle_beta 24.23
_cell_angle_gamma 24.23
loop_
_symmetry_equiv_pos_as_xyz
'x,y,z'
loop_
_atom_site_label
_atom_site_type_symbol
_atom_site_fract_x
_atom_site_fract_y
_atom_site_fract_z
_atom_site_occupancy
Dy1 Dy 0.0000 0.0000 0.0000 1
Tm1 Tm 0.0688 0.4036 0.7341 1
Tm2 Tm 0.2659 0.9312 0.5964 1
Tm3 Tm 0.4036 0.7341 0.0688 1
Tm4 Tm 0.5964 0.2659 0.9312 1
Tm5 Tm 0.7341 0.0688 0.4036 1
Tm6 Tm 0.9312 0.5964 0.2659 1
Sc1 Sc 0.1357 0.8026 0.4689 1
Sc2 Sc 0.1974 0.5311 0.8643 1
Sc3 Sc 0.3333 0.3333 0.3333 1
Sc4 Sc 0.4689 0.1357 0.8026 1
Sc5 Sc 0.5311 0.8643 0.1974 1
Sc6 Sc 0.6667 0.6667 0.6667 1
Sc7 Sc 0.8026 0.4689 0.1357 1
Sc8 Sc 0.8643 0.1974 0.5311 1

***

Record 2
# PBE-GGA DyTm2Sc2, relaxed
# * density: 7.0 Mg/m³
# * SG: P2_1/c
# * crystal system: monoclinic
# * D(E_F): 1.540 states/eV/atom
# * E_form: 0.04 eV/atom
data_DyTm2Sc2
_symmetry_space_group_name_H-M 'P 1'
_symmetry_Int_Tables_number 1
_cell_length_a 13.8729
_cell_length_b 6.8665
_cell_length_c 5.9498
_cell_angle_alpha 90.00
_cell_angle_beta 98.09
_cell_angle_gamma 90.00
loop_
_symmetry_equiv_pos_as_xyz
'x,y,z'
loop_
_atom_site_label
_atom_site_type_symbol
_atom_site_fract_x
_atom_site_fract_y
_atom_site_fract_z
_atom_site_occupancy
Dy1 Dy 0.1969 0.1233 0.1496 1
Dy2 Dy 0.1969 0.3767 0.6496 1
Dy3 Dy 0.8031 0.6233 0.3504 1
Dy4 Dy 0.8031 0.8767 0.8504 1
Tm1 Tm 0.1974 0.6268 0.1457 1
Tm2 Tm 0.1974 0.8732 0.6457 1
Tm3 Tm 0.4016 0.1241 0.8811 1
Tm4 Tm 0.4016 0.3759 0.3811 1
Tm5 Tm 0.5984 0.6241 0.6189 1
Tm6 Tm 0.5984 0.8759 0.1189 1
Tm7 Tm 0.8026 0.1268 0.3543 1
Tm8 Tm 0.8026 0.3732 0.8543 1
Sc1 Sc 0.0001 0.1250 0.7499 1
Sc2 Sc 0.0001 0.3750 0.2499 1
Sc3 Sc 0.9999 0.6250 0.7501 1
Sc4 Sc 0.9999 0.8750 0.2501 1
Sc5 Sc 0.4002 0.6261 0.8848 1
Sc6 Sc 0.4002 0.8739 0.3848 1
Sc7 Sc 0.5998 0.1261 0.6152 1
Sc8 Sc 0.5998 0.3739 0.1152 1

***

Record 3
# PBE-GGA Dy4Tm3Sc, relaxed
# * density: 8.4 Mg/m³
# * SG: I4/mcm
# * crystal system: tetragonal
# * D(E_F): 1.218 states/eV/atom
# * E_form: 0.10 eV/atom
data_Dy4Tm3Sc
_symmetry_space_group_name_H-M 'P 1'
_symmetry_Int_Tables_number 1
_cell_length_a 8.7849
_cell_length_b 8.7849
_cell_length_c 8.7849
_cell_angle_alpha 120.20
_cell_angle_beta 120.20
_cell_angle_gamma 89.65
loop_
_symmetry_equiv_pos_as_xyz
'x,y,z'
loop_
_atom_site_label
_atom_site_type_symbol
_atom_site_fract_x
_atom_site_fract_y
_atom_site_fract_z
_atom_site_occupancy
Dy1 Dy 0.0123 0.5123 0.1992 1
Dy2 Dy 0.1870 0.9877 0.5000 1
Dy3 Dy 0.3130 0.8130 0.8008 1
Dy4 Dy 0.4877 0.6870 0.5000 1
Dy5 Dy 0.5123 0.3130 0.5000 1
Dy6 Dy 0.6870 0.1870 0.1992 1
Dy7 Dy 0.8130 0.0123 0.5000 1
Dy8 Dy 0.9877 0.4877 0.8008 1
Tm1 Tm 0.1478 0.3522 0.5000 1
Tm2 Tm 0.2500 0.2500 0.0000 1
Tm3 Tm 0.3522 0.8522 0.2043 1
Tm4 Tm 0.6478 0.1478 0.7957 1
Tm5 Tm 0.7500 0.7500 0.0000 1
Tm6 Tm 0.8522 0.6478 0.5000 1
Sc1 Sc 0.0000 0.0000 0.0000 1
Sc2 Sc 0.5000 0.5000 0.0000 1

***

Record 4
# PBE-GGA Dy2TmSc, relaxed
# * density: 7.6 Mg/m³
# * SG: P4/mmm
# * crystal system: tetragonal
# * D(E_F): 1.516 states/eV/atom
# * E_form: 0.04 eV/atom
data_Dy2TmSc
_symmetry_space_group_name_H-M 'P 1'
_symmetry_Int_Tables_number 1
_cell_length_a 3.4875
_cell_length_b 3.4875
_cell_length_c 9.6296
_cell_angle_alpha 90.00
_cell_angle_beta 90.00
_cell_angle_gamma 90.00
loop_
_symmetry_equiv_pos_as_xyz
'x,y,z'
loop_
_atom_site_label
_atom_site_type_symbol
_atom_site_fract_x
_atom_site_fract_y
_atom_site_fract_z
_atom_site_occupancy
Dy1 Dy 0.0000 0.0000 0.2409 1
Dy2 Dy 0.0000 0.0000 0.7591 1
Tm1 Tm 0.5000 0.5000 0.5000 1
Sc1 Sc 0.5000 0.5000 0.0000 1

***

What did the fourth record say?
# PBE-GGA Dy2TmSc, relaxed
# * density: 7.6 Mg/m³
# * SG: P4/mmm
# * crystal system: tetragonal
# * D(E_F): 1.516 states/eV/atom
# * E_form: 0.04 eV/atom
data_Dy2TmSc
_symmetry_space_group_name_H-M 'P 1'
_symmetry_Int_Tables_number 1
_cell_length_a 3.4875
_cell_length_b 3.4875
_cell_length_c 9.6296
_cell_angle_alpha 90.00
_cell_angle_beta 90.00
_cell_angle_gamma 90.00
loop_
_symmetry_equiv_pos_as_xyz
'x,y,z'
loop_
_atom_site_label
_atom_site_type_symbol
_atom_site_fract_x
_atom_site_fract_y
_atom_site_fract_z
_atom_site_occupancy
Dy1 Dy 0.0000 0.0000 0.2409 1
Dy2 Dy 0.0000 0.0000 0.7591 1
Tm1 Tm 0.5000 0.5000 0.5000 1
Sc1 Sc 0.5000 0.5000 0.0000 1

***

Question: Which value of density does entry 1 give?
Answer: 6.3 Mg/m³

***

Question: Which of these has the highest D(E_F)?
Answer: DyTm6Sc8